Record 1
Here is a relaxed structure of Tc2NiB2 from OQMD. Energies are from PBE-GGA.

For the total DFT energy (no corrections), the calculation gives -8.27 eV/atom. The calculation puts the total magnetization at 0.00 μB per cell.

It has space group P4/mbm (No. 127), with a = 5.5079 Å, b = 5.5079 Å, c = 3.2992 Å, α = 90.00°, β = 90.00° and γ = 90.00°. The inequivalent atoms are Tc at (0.1788, 0.3212, 0.0000), Ni at (0.0000, 0.0000, 0.5000) and B at (0.1160, 0.6160, 0.5000).

---

Record 2
Here is a relaxed structure of ThSiTe from OQMD. Energies are from PBE-GGA.

For the total DFT energy (no corrections), the calculation gives -6.22 eV/atom. The calculation puts the total magnetization at 0.03 μB per cell.

It has space group I4/mmm (No. 139), with a = 4.1604 Å, b = 4.1604 Å, c = 18.5131 Å, α = 90.00°, β = 90.00° and γ = 90.00°. The inequivalent atoms are Th at (0.0000, 0.0000, 0.1200), Si at (0.0000, 0.5000, 0.0000) and Te at (0.0000, 0.0000, 0.3111).

---

Record 3
Here is a relaxed structure of CoNi2As from OQMD. Energies are from PBE-GGA.

For the total DFT energy (no corrections), the calculation gives -5.77 eV/atom. The calculation puts the total magnetization at 0.08 μB per cell.

It has space group F-43m (No. 216), with a = 5.6610 Å, b = 5.6610 Å, c = 5.6610 Å, α = 90.00°, β = 90.00° and γ = 90.00°. The inequivalent atoms are Co at (0.0000, 0.0000, 0.0000), Ni at (0.0000, 0.0000, 0.5000), Ni at (0.2500, 0.2500, 0.2500) and As at (0.2500, 0.2500, 0.7500).

---

Record 4
Here is a relaxed structure of AcDyTl from OQMD. Energies are from PBE-GGA.

For the total DFT energy (no corrections), the calculation gives -3.70 eV/atom. The distance to the lowest polymorph of the same formula is 0.0 meV/atom. The calculation puts the total magnetization at 3.67 μB per cell.

It has space group F-43m (No. 216), with a = 7.6573 Å, b = 7.6573 Å, c = 7.6573 Å, α = 90.00°, β = 90.00° and γ = 90.00°. The inequivalent atoms are Ac at (0.0000, 0.0000, 0.0000), Dy at (0.0000, 0.0000, 0.5000) and Tl at (0.2500, 0.2500, 0.2500).